1.
Computed, not measured: a relaxed Mo2Pt2Rh3 crystal at the PBE-GGA level of DFT.

Output
Crystal system: orthorhombic
DFT formation energy, eV per atom: -0.06
Total moment, μB/f.u.: 0.001
Energy above the lowest structure with this stoichiometry, meV/atom: 91
Density of states at the Fermi level, states/eV/cell: 8.5

Cell and atoms, written as extended XYZ:
```
7
Lattice="-1.137 -4.084 -1.026 1.810 -0.957 1.805 -6.648 2.668 6.018" Properties=species:S:1:pos:R:3 pbc="T T T"
Rh -2.768 -0.393 4.632
Rh -3.206 -1.980 2.165
Rh 0.000 0.000 0.000
Mo -5.006 -1.938 3.992
Mo -0.969 -0.435 2.805
Pt -0.577 -2.499 1.317
Pt -5.398 0.126 5.481
```

=====

2.
Computed, not measured: a relaxed NaGaSb2 crystal at the PBE-GGA level of DFT.

Output
Crystal system: monoclinic
Total moment, μB/f.u.: 0.000
Formation energy without anion corrections, eV per atom: -0.10
Density of states at the Fermi level, states/eV/cell: 4.7

Cell and atoms, written as extended XYZ:
```
16
Lattice="-1.914 -1.072 -5.837 -3.140 -5.448 2.030 -8.216 7.506 1.316" Properties=species:S:1:pos:R:3 pbc="T T T"
Ga -10.054 1.646 2.595
Ga -7.211 1.313 1.724
Ga -3.217 -0.660 -5.086
Ga -6.060 -0.327 -4.215
Sb -7.370 -3.581 -2.640
Sb -5.900 4.567 0.148
Sb -4.017 -4.806 -0.051
Sb -6.095 -0.337 -0.190
Sb -9.253 5.792 -2.441
Sb -7.176 1.323 -2.301
Sb -4.732 -2.677 -3.671
Sb -8.539 3.663 1.179
Na -9.357 -1.066 -1.007
Na -3.138 -1.792 -1.032
Na -10.132 2.778 -1.459
Na -3.913 2.052 -1.484
```

=====

3.
Computed, not measured: a relaxed Pm6Te5Pt crystal at the PBE-GGA level of DFT.

Output
Crystal system: monoclinic
Total moment, μB/f.u.: 0.000
Formation energy without anion corrections, eV per atom: -1.40
Density of states at the Fermi level, states/eV/cell: 5.9

Cell and atoms, written as extended XYZ:
```
12
Lattice="7.570 -0.105 -1.428 -4.079 6.378 -1.428 0.141 0.253 7.687" Properties=species:S:1:pos:R:3 pbc="T T T"
Pm 1.015 6.031 3.719
Pm 2.617 0.495 1.112
Pm 4.590 4.042 3.719
Pm 0.901 1.618 5.189
Pm 2.732 4.908 -0.358
Pm -0.958 2.485 1.112
Te -0.169 4.202 -1.428
Te 1.816 3.263 2.416
Te 5.557 1.182 2.416
Te -1.925 5.345 2.416
Te 3.660 2.071 -1.428
Pt 0.000 0.000 0.000
```

=====

4.
Computed, not measured: a relaxed PuThPd2 crystal at the PBE-GGA level of DFT.

Output
Crystal system: cubic
DFT formation energy, eV per atom: -0.53
Total moment, μB/f.u.: 5.852
Energy above the lowest structure with this stoichiometry, meV/atom: 32
Density of states at the Fermi level, states/eV/cell: 12.4

Cell and atoms, written as extended XYZ:
```
4
Lattice="-0.534 2.241 -4.508 -4.231 -0.701 -2.691 -3.300 3.798 -0.564" Properties=species:S:1:pos:R:3 pbc="T T T"
Pu -4.032 2.669 -3.881
Pd -6.049 4.003 -5.822
Pd -2.016 1.334 -1.941
Th 0.000 0.000 0.000
```

=====

5.
Computed, not measured: a relaxed InRhI2 crystal at the PBE-GGA level of DFT.

Output
Crystal system: tetragonal
Total moment, μB/f.u.: 0.000
Energy above the lowest structure with this stoichiometry, meV/atom: 0
Formation energy without anion corrections, eV per atom: -0.14
Density of states at the Fermi level, states/eV/cell: 5.2

Cell and atoms, written as extended XYZ:
```
8
Lattice="9.928 0.000 0.000 0.000 9.928 0.000 4.964 4.964 2.655" Properties=species:S:1:pos:R:3 pbc="T T T"
In 9.928 4.964 1.328
In 0.000 0.000 0.000
I 12.410 10.919 1.991
I 3.972 7.446 0.664
I 7.446 8.936 1.991
I 5.956 2.482 0.664
Rh 4.964 9.928 1.328
Rh 4.964 4.964 0.000
```

=====

6.
Computed, not measured: a relaxed GaBSbTe2 crystal at the PBE-GGA level of DFT.

Output
Crystal system: tetragonal
Total moment, μB/f.u.: 0.000
Energy above the lowest structure with this stoichiometry, meV/atom: 0
Formation energy without anion corrections, eV per atom: 0.62
Density of states at the Fermi level, states/eV/cell: 3.4

Cell and atoms, written as extended XYZ:
```
5
Lattice="4.998 0.000 0.000 0.000 4.998 0.000 0.000 0.000 4.816" Properties=species:S:1:pos:R:3 pbc="T T T"
Sb 0.000 0.000 2.408
Te 0.000 2.499 0.000
Te 2.499 0.000 0.000
B 0.000 0.000 0.000
Ga 2.499 2.499 2.408
```

=====

7.
Computed, not measured: a relaxed MgFe2Cl crystal at the PBE-GGA level of DFT.

Output
Crystal system: trigonal
Total moment, μB/f.u.: 5.761
Energy above the lowest structure with this stoichiometry, meV/atom: 357
Formation energy without anion corrections, eV per atom: 0.28
Density of states at the Fermi level, states/eV/cell: 3.1

Cell and atoms, written as extended XYZ:
```
4
Lattice="-1.696 7.665 -3.092 -1.990 6.041 -5.544 -4.255 6.299 -3.662" Properties=species:S:1:pos:R:3 pbc="T T T"
Fe -3.916 9.864 -6.064
Fe -0.055 0.139 -0.085
Cl -5.956 15.004 -9.223
Mg -1.985 5.001 -3.074
```

=====

8.
Computed, not measured: a relaxed La3CeInRh crystal at the PBE-GGA level of DFT.

Output
Crystal system: orthorhombic
DFT formation energy, eV per atom: -0.44
Total moment, μB/f.u.: 0.867
Density of states at the Fermi level, states/eV/cell: 19.6

Cell and atoms, written as extended XYZ:
```
12
Lattice="8.717 0.912 -2.899 4.890 7.274 -2.899 -0.051 -0.031 5.957" Properties=species:S:1:pos:R:3 pbc="T T T"
La 9.355 3.558 -2.881
La 11.078 6.664 -2.846
La 2.479 1.491 3.006
La 6.030 1.557 3.040
La 4.201 4.597 3.040
La 7.527 6.598 -2.881
In 9.413 5.662 0.111
In 4.143 2.492 0.049
Rh -0.035 -0.021 4.484
Rh 13.592 8.176 -4.325
Ce 7.497 2.883 0.080
Ce 6.060 5.272 0.080
```

=====

9.
Computed, not measured: a relaxed MgTe crystal at the PBE-GGA level of DFT.

Output
Crystal system: cubic
Total moment, μB/f.u.: 0.000
Formation energy without anion corrections, eV per atom: -0.34
Density of states at the Fermi level, states/eV/cell: 1.5

Cell and atoms, written as extended XYZ:
```
2
Lattice="-1.891 2.753 1.625 -3.007 -2.172 0.181 1.085 -1.223 3.335" Properties=species:S:1:pos:R:3 pbc="T T T"
Te -1.907 -0.321 2.570
Mg 0.000 0.000 0.000
```

=====

10.
Computed, not measured: a relaxed LaDy2Mg5 crystal at the PBE-GGA level of DFT.

Output
Crystal system: tetragonal
DFT formation energy, eV per atom: -0.09
Total moment, μB/f.u.: 0.004
Density of states at the Fermi level, states/eV/cell: 6.2

Cell and atoms, written as extended XYZ:
```
8
Lattice="-2.051 4.904 -0.307 -4.368 -1.667 2.548 6.433 0.148 5.561" Properties=species:S:1:pos:R:3 pbc="T T T"
Mg 0.239 0.494 6.296
Mg -3.209 1.618 1.120
Mg 1.397 3.780 4.869
Mg -1.383 -0.395 2.934
Mg -0.225 2.891 1.506
Dy -1.660 2.468 4.333
Dy 1.674 0.917 3.469
La 0.000 0.000 0.000
```

=====

11.
Computed, not measured: a relaxed Cr2MoRu crystal at the PBE-GGA level of DFT.

Output
Crystal system: trigonal
DFT formation energy, eV per atom: 0.33
Total moment, μB/f.u.: 0.003
Density of states at the Fermi level, states/eV/cell: 5.8

Cell and atoms, written as extended XYZ:
```
4
Lattice="-4.070 3.756 7.153 -5.175 1.341 7.298 -2.802 1.787 8.414" Properties=species:S:1:pos:R:3 pbc="T T T"
Cr -0.049 0.028 0.092
Cr -5.975 3.414 11.341
Mo -3.012 1.721 5.716
Ru -9.035 5.163 17.149
```

=====

12.
Computed, not measured: a relaxed LaMg2Mo crystal at the PBE-GGA level of DFT.

Output
Crystal system: orthorhombic
DFT formation energy, eV per atom: 0.36
Total moment, μB/f.u.: 0.000
Energy above the lowest structure with this stoichiometry, meV/atom: 57
Density of states at the Fermi level, states/eV/cell: 4.3

Cell and atoms, written as extended XYZ:
```
4
Lattice="3.089 -0.010 0.000 -1.013 2.919 0.000 0.000 0.000 10.165" Properties=species:S:1:pos:R:3 pbc="T T T"
Mo 0.000 0.000 4.964
Mg 0.000 0.000 0.204
Mg 1.038 1.454 2.796
La 1.038 1.454 7.284
```

=====

13.
Computed, not measured: a relaxed ScBe2Mo2 crystal at the PBE-GGA level of DFT.

Output
Crystal system: tetragonal
DFT formation energy, eV per atom: -0.01
Total moment, μB/f.u.: 0.000
Density of states at the Fermi level, states/eV/cell: 8.8

Cell and atoms, written as extended XYZ:
```
10
Lattice="-1.628 3.660 5.094 -0.368 -5.309 3.698 3.124 0.319 0.769" Properties=species:S:1:pos:R:3 pbc="T T T"
Mo 0.163 -1.768 6.871
Mo 1.033 -2.780 3.754
Mo 0.966 0.438 2.690
Mo 0.096 1.451 5.807
Sc -0.998 -0.824 4.396
Sc 0.000 0.000 0.000
Be -1.041 1.642 3.548
Be -1.668 -0.016 6.784
Be -0.954 -3.291 5.244
Be -0.327 -1.633 2.008
```

=====

14.
Computed, not measured: a relaxed Li2TcNi crystal at the PBE-GGA level of DFT.

Output
Crystal system: tetragonal
DFT formation energy, eV per atom: 0.33
Total moment, μB/f.u.: 2.398
Energy above the lowest structure with this stoichiometry, meV/atom: 244
Density of states at the Fermi level, states/eV/cell: 3.5

Cell and atoms, written as extended XYZ:
```
4
Lattice="4.312 0.000 0.000 0.000 3.506 0.000 0.000 0.000 3.506" Properties=species:S:1:pos:R:3 pbc="T T T"
Ni 2.156 1.753 0.000
Li 0.000 0.000 0.000
Li 0.000 1.753 1.753
Tc 2.156 0.000 1.753
```

=====

15.
Computed, not measured: a relaxed Ac12TmIr7 crystal at the PBE-GGA level of DFT.

Output
Crystal system: trigonal
DFT formation energy, eV per atom: -0.57
Total moment, μB/f.u.: 0.000
Density of states at the Fermi level, states/eV/cell: 14.1

Cell and atoms, written as extended XYZ:
```
20
Lattice="-1.379 -8.028 -5.035 6.619 -1.888 6.659 -8.185 1.967 4.565" Properties=species:S:1:pos:R:3 pbc="T T T"
Ac -5.586 -6.480 1.025
Ac -0.122 -5.750 -1.649
Ac -4.109 -4.468 4.374
Ac -2.592 -3.134 0.473
Ac -2.824 -2.199 7.838
Ac 1.163 -3.482 1.814
Ac 2.450 -7.406 3.660
Ac -1.417 -1.065 3.692
Ac -5.395 -0.543 2.529
Ac -1.529 -6.885 2.497
Ac -0.353 -4.815 5.715
Ac 2.641 -1.470 5.164
Ir -2.761 -0.285 1.132
Ir 1.279 -0.607 2.643
Ir -1.473 -3.975 3.094
Ir -3.031 -5.073 7.030
Ir -4.225 -7.343 3.546
Ir -0.184 -7.664 5.056
Ir 0.086 -2.876 -0.841
Tm 0.000 0.000 0.000
```

=====

16.
Computed, not measured: a relaxed Tb4Pr2Sb3N2 crystal at the PBE-GGA level of DFT.

Output
Crystal system: tetragonal
Total moment, μB/f.u.: 0.000
Formation energy without anion corrections, eV per atom: -1.20
Density of states at the Fermi level, states/eV/cell: 6.2

Cell and atoms, written as extended XYZ:
```
11
Lattice="4.695 0.000 0.000 0.000 4.695 0.000 -2.348 -2.348 12.846" Properties=species:S:1:pos:R:3 pbc="T T T"
Tb 2.348 0.000 10.738
Tb 0.000 2.348 2.108
Tb 0.000 2.348 10.738
Tb 2.348 0.000 2.108
Sb 0.000 0.000 4.513
Sb 2.348 2.348 8.333
Sb 0.000 0.000 0.000
N 0.000 0.000 10.327
N 2.348 2.348 2.519
Pr 2.348 2.348 4.970
Pr 0.000 0.000 7.876
```

=====

17.
Computed, not measured: a relaxed CsNpTe3Pt crystal at the PBE-GGA level of DFT.

Output
Crystal system: monoclinic
Total moment, μB/f.u.: 3.044
Formation energy without anion corrections, eV per atom: -0.68
Density of states at the Fermi level, states/eV/cell: 26.1

Cell and atoms, written as extended XYZ:
```
12
Lattice="4.356 0.000 0.000 0.000 10.269 -1.001 0.000 -3.694 10.270" Properties=species:S:1:pos:R:3 pbc="T T T"
Np 3.267 0.098 8.311
Np 1.089 6.477 0.958
Te 3.267 8.550 0.549
Te 1.089 6.518 3.986
Te 3.267 4.274 1.100
Te 1.089 2.301 8.168
Te 1.089 -1.975 8.719
Te 3.267 0.057 5.282
Pt 3.267 7.839 3.193
Pt 1.089 -1.263 6.076
Cs 1.089 1.332 2.319
Cs 3.267 5.244 6.949
```

=====

18.
Computed, not measured: a relaxed Sc3AlFe crystal at the PBE-GGA level of DFT.

Output
Crystal system: cubic
DFT formation energy, eV per atom: 0.04
Total moment, μB/f.u.: 0.000
Energy above the lowest structure with this stoichiometry, meV/atom: 0
Density of states at the Fermi level, states/eV/cell: 5.0

Cell and atoms, written as extended XYZ:
```
5
Lattice="-4.248 0.528 2.111 -0.425 -4.742 0.332 2.134 0.107 4.268" Properties=species:S:1:pos:R:3 pbc="T T T"
Al -1.270 -2.053 3.355
Sc 1.067 0.054 2.134
Sc -2.124 0.264 1.055
Sc -0.213 -2.371 0.166
Fe 0.000 0.000 0.000
```

=====

19.
Computed, not measured: a relaxed EuDyEr2 crystal at the PBE-GGA level of DFT.

Output
Crystal system: tetragonal
DFT formation energy, eV per atom: 0.07
Total moment, μB/f.u.: 7.507
Energy above the lowest structure with this stoichiometry, meV/atom: 0
Density of states at the Fermi level, states/eV/cell: 5.4

Cell and atoms, written as extended XYZ:
```
4
Lattice="3.582 0.000 0.000 0.000 3.582 0.000 0.000 0.000 10.250" Properties=species:S:1:pos:R:3 pbc="T T T"
Er 0.000 0.000 7.850
Er 0.000 0.000 2.400
Eu 1.791 1.791 5.125
Dy 1.791 1.791 0.000
```